(1)
Computed, not measured: InHg3 at its PBEsol-relaxed geometry at the SCAN level of DFT.

Unit cell a=5.7694 b=5.7694 c=5.7694 alpha=90.00 beta=90.00 gamma=90.00
Last column: nearest neighbours and their distance in Å.
Space group Pm-3n (No. 223)
Inequivalent atoms, fractional coordinates:
In 0.0000 0.0000 0.0000  12 Hg 3.23
Hg 0.0000 0.2500 0.5000  2 Hg 2.88, 4 In 3.23

Its total magnetization is 0.00 Bohr magnetons per cell. Its calculated total energy is -59.418 eV/atom.

***

(2)
Computed, not measured: InTc2As at its PBEsol-relaxed geometry at the SCAN level of DFT.

Unit cell a=2.9822 b=3.7972 c=5.7894 alpha=90.00 beta=102.80 gamma=90.00
Last column: nearest neighbours and their distance in Å.
Space group P2/m (No. 10)
Inequivalent atoms, fractional coordinates:
In 0.0000 0.0000 0.0000  8 Tc 2.87-2.93, 2 As 2.89, 2 In 2.98
Tc 0.3583 0.5000 0.7167  2 As 2.39
As 0.0000 0.0000 0.5000  4 Tc 2.39

Its total magnetization is 0.00 Bohr magnetons per cell. Its calculated total energy is -30.760 eV/atom. As for the distance to the lowest polymorph of the same formula: 0.000 eV per atom.

***

(3)
Computed, not measured: Mg3Zr at its PBEsol-relaxed geometry at the SCAN level of DFT.

Unit cell a=5.3686 b=10.3266 c=6.3138 alpha=90.00 beta=90.00 gamma=90.00
Last column: nearest neighbours and their distance in Å.
Space group Pnma (No. 62)
Inequivalent atoms, fractional coordinates:
Mg 0.0747 0.2500 0.1370  3 Zr 2.99-3.32, 8 Mg 3.04-3.20
Mg 0.2503 0.0049 0.3903  9 Mg 3.02-3.22, 3 Zr 3.12-3.23
Zr 0.0569 0.2500 0.6632  2 Zr 2.90, 8 Mg 2.99-3.23

Its total magnetization is 0.00 Bohr magnetons per cell. Its calculated total energy is -11.350 eV/atom.

***

(4)
Computed, not measured: Ca5Ag4 at its PBEsol-relaxed geometry at the SCAN level of DFT.

Unit cell a=9.1165 b=9.1165 c=6.5804 alpha=90.00 beta=90.00 gamma=120.00
Last column: nearest neighbours and their distance in Å.
Space group P6_3/mcm (No. 193)
Inequivalent atoms, fractional coordinates:
Ca 0.0000 0.2739 0.2500  5 Ag 2.99-3.16
Ca 0.3333 0.6667 0.0000  6 Ag 3.26, 2 Ca 3.29
Ag 0.0000 0.0000 0.0000  6 Ca 2.99, 2 Ag 3.29
Ag 0.0000 0.3895 0.7500  7 Ca 3.07-3.26

Its total magnetization is 0.00 Bohr magnetons per cell. Its calculated total energy is -19.550 eV/atom.

***

(5)
Computed, not measured: CaSi2Pb at its PBEsol-relaxed geometry at the SCAN level of DFT.

Unit cell a=10.5725 b=3.7386 c=5.6552 alpha=90.00 beta=120.20 gamma=90.00
Last column: nearest neighbours and their distance in Å.
Space group C2/m (No. 12)
Inequivalent atoms, fractional coordinates:
Ca 0.0000 0.0000 0.0000  6 Si 3.00-3.26
Si 0.2450 0.5000 0.3576  2 Si 2.44
Pb 0.0000 0.5000 0.5000  6 Si 3.04-3.08, 4 Ca 3.39

Its total magnetization is 0.00 Bohr magnetons per cell. Its calculated total energy is -26.394 eV/atom. For the raw formation energy, the calculation gives -0.025 eV per atom.

***

(6)
Computed, not measured: CuCl2 at its PBEsol-relaxed geometry at the SCAN level of DFT.

Unit cell a=3.4679 b=19.2172 c=3.4975 alpha=90.00 beta=90.00 gamma=90.00
Last column: nearest neighbours and their distance in Å.
Space group Cmcm (No. 63)
Inequivalent atoms, fractional coordinates:
Cu 0.0000 0.0489 0.2500  4 Cl 2.51, 2 Cu 2.57
Cl 0.0000 0.2500 0.7500  4 Cl 2.46
Cl 0.0000 0.4246 0.2500  4 Cu 2.51

Its total magnetization is 0.00 Bohr magnetons per cell. Its calculated total energy is -10.395 eV/atom. For the raw formation energy, the calculation gives -0.010 eV per atom.

***

(7)
Computed, not measured: MgTl2In at its PBEsol-relaxed geometry at the SCAN level of DFT.

Unit cell a=3.3356 b=5.3185 c=5.9043 alpha=90.00 beta=96.32 gamma=90.00
Last column: nearest neighbours and their distance in Å.
Space group P2/m (No. 10)
Inequivalent atoms, fractional coordinates:
Mg 0.0000 0.0000 0.0000  4 Tl 3.18, 4 In 3.23-3.55, 2 Mg 3.34
Tl 0.2406 0.5000 0.7517  2 Mg 3.18, 2 In 3.21, 5 Tl 3.22-3.49
In 0.5000 0.0000 0.5000  4 Tl 3.21, 4 Mg 3.23-3.55, 2 In 3.34

Its total magnetization is 0.00 Bohr magnetons per cell. Its calculated total energy is -45.748 eV/atom.

***

(8)
Computed, not measured: KCuCl2 at its PBEsol-relaxed geometry at the SCAN level of DFT.

Unit cell a=4.1500 b=3.9777 c=6.3087 alpha=90.00 beta=106.34 gamma=90.00
Last column: nearest neighbours and their distance in Å.
Space group Pm (No. 6)
Inequivalent atoms, fractional coordinates:
K 0.0000 0.0000 0.0000  6 Cl 3.05-3.15
Cu 0.4027 0.5000 0.4741  3 Cl 2.22
Cl 0.3312 0.0000 0.6107  2 Cu 2.22
Cl 0.5751 0.5000 0.1706  1 Cu 2.22

Its total magnetization is 0.00 Bohr magnetons per cell. Its calculated total energy is -11.165 eV/atom. For the raw formation energy, the calculation gives -1.295 eV per atom. As for the distance to the lowest polymorph of the same formula: 0.000 eV per atom.

***

Among the records above, which one has the highest calculated total energy? CuCl2

***

The highest calculated total energy belongs to which entry? CuCl2

***

Which of these has the lowest calculated total energy? InHg3